! PBE Pu2NpRu, optimized geometry; values from VASP
&SYSTEM
  ibrav = 0, nat = 12, ntyp = 3
/
ATOMIC_SPECIES
Pu 244.00 Pu.upf
Np 237.00 Np.upf
Ru 101.07 Ru.upf
ATOMIC_POSITIONS crystal
Pu 0.0000 0.0000 0.2422
Pu 0.0000 0.0000 0.7578
Pu 0.3333 0.6667 0.4245
Pu 0.3333 0.6667 0.9088
Pu 0.6667 0.3333 0.0912
Pu 0.6667 0.3333 0.5755
Np 0.0000 0.0000 0.5000
Np 0.3333 0.6667 0.1667
Np 0.6667 0.3333 0.8333
Ru 0.0000 0.0000 0.0000
Ru 0.3333 0.6667 0.6667
Ru 0.6667 0.3333 0.3333
CELL_PARAMETERS angstrom
3.4746 0.0000 0.0000
-1.7373 3.0091 0.0000
0.0000 0.0000 21.4002
! Offset from the most stable computed form, eV/atom: 0.2402
! Final energy, eV/atom: -12.375
! ΔE_f, eV/f.u.: 1.4
! SG: R-3m (166)
! Fermi-level density of states, states/eV/atom: 2.445
! Magnetization, Bohr magnetons per cell: 17.5



! PBE YMg4Re, optimized geometry; values from VASP
&SYSTEM
  ibrav = 0, nat = 6, ntyp = 3
/
ATOMIC_SPECIES
Y 88.91 Y.upf
Mg 24.30 Mg.upf
Re 186.21 Re.upf
ATOMIC_POSITIONS crystal
Y 0.0000 0.0000 0.0000
Mg 0.1295 0.6235 0.6235
Mg 0.6235 0.1295 0.6235
Mg 0.6235 0.6235 0.1295
Mg 0.6235 0.6235 0.6235
Re 0.2500 0.2500 0.2500
CELL_PARAMETERS angstrom
0.0000 3.9388 3.9388
3.9388 0.0000 3.9388
3.9388 3.9388 0.0000
! Final energy, eV/atom: -3.849
! ΔE_f, eV/f.u.: 2.2
! SG: F-43m (216)
! Fermi-level density of states, states/eV/atom: 1.365
! Magnetization, Bohr magnetons per cell: 0.5



! PBE K8Cd3Au2, optimized geometry; values from VASP
&SYSTEM
  ibrav = 0, nat = 13, ntyp = 3
/
ATOMIC_SPECIES
K 39.10 K.upf
Cd 112.41 Cd.upf
Au 196.97 Au.upf
ATOMIC_POSITIONS crystal
K 0.0425 0.6165 0.2605
K 0.0668 0.0668 0.2489
K 0.3441 0.3441 0.7776
K 0.3835 0.9575 0.7395
K 0.6165 0.0425 0.2605
K 0.6559 0.6559 0.2224
K 0.9332 0.9332 0.7511
K 0.9575 0.3835 0.7395
Cd 0.3351 0.6649 0.0000
Cd 0.5000 0.5000 0.5000
Cd 0.6649 0.3351 0.0000
Au 0.2321 0.2321 0.2532
Au 0.7679 0.7679 0.7468
CELL_PARAMETERS angstrom
10.2078 -4.9602 0.0000
10.2078 4.9602 0.0000
-0.2266 0.0000 5.3132
! Final energy, eV/atom: -1.477
! ΔE_f, eV/f.u.: -1.1
! SG: C2/m (12)
! Fermi-level density of states, states/eV/atom: 0.524
! Magnetization, Bohr magnetons per cell: 0.0



! PBE SrMgTaCl2, optimized geometry; values from VASP
&SYSTEM
  ibrav = 0, nat = 5, ntyp = 4
/
ATOMIC_SPECIES
Sr 87.62 Sr.upf
Mg 24.30 Mg.upf
Ta 180.95 Ta.upf
Cl 35.45 Cl.upf
ATOMIC_POSITIONS crystal
Sr 0.0000 0.0000 0.0000
Mg 0.5000 0.5000 0.5000
Ta 0.0000 0.0000 0.5000
Cl 0.0000 0.5000 0.0000
Cl 0.5000 0.0000 0.0000
CELL_PARAMETERS angstrom
5.3509 0.0000 0.0000
0.0000 5.3509 0.0000
0.0000 0.0000 7.2636
! Formation energy without anion corrections, eV per formula unit: 1.4
! Final energy, eV/atom: -3.481
! SG: P4/mmm (123)
! Fermi-level density of states, states/eV/atom: 1.855
! Magnetization, Bohr magnetons per cell: 3.7